KRbS2O6 | GGA-PBE | relaxed

Cell: 7.674 7.674 6.862 Å, 102.35 102.35 91.27°
Fractional coordinates of all 20 atoms:
1 K 0.617 0.383 0.250
2 K 0.383 0.617 0.750
3 Rb 0.176 0.824 0.250
4 Rb 0.824 0.176 0.750
5 S 0.305 0.148 0.760
6 S 0.852 0.695 0.740
7 S 0.695 0.852 0.240
8 S 0.148 0.305 0.260
9 O 0.962 0.354 0.187
10 O 0.646 0.038 0.313
11 O 0.038 0.646 0.813
12 O 0.354 0.962 0.687
13 O 0.207 0.161 0.105
14 O 0.839 0.793 0.395
15 O 0.793 0.839 0.895
16 O 0.161 0.207 0.605
17 O 0.279 0.465 0.332
18 O 0.535 0.721 0.168
19 O 0.721 0.535 0.668
20 O 0.465 0.279 0.832

Uncorrected formation energy (eV/f.u.): -14.78